! PBE-GGA AuSCl7, relaxed; values from VASP
&SYSTEM
  ibrav = 0, nat = 36, ntyp = 3
/
ATOMIC_SPECIES
Cl 35.45 Cl.upf
S 32.06 S.upf
Au 196.97 Au.upf
CELL_PARAMETERS angstrom
10.452 0.000 0.000
0.000 9.228 -0.144
0.000 3.557 11.997
ATOMIC_POSITIONS angstrom
Cl 0.341 1.524 1.523
Cl 2.384 5.866 7.009
Cl 2.842 4.087 1.010
Cl 1.241 3.113 7.908
Cl 5.567 9.482 4.331
Cl 2.775 8.632 7.951
Cl 7.995 2.613 6.785
Cl 0.758 4.133 4.944
Cl 9.210 9.672 3.945
Cl 3.985 1.334 1.909
Cl 5.927 8.087 7.336
Cl 2.457 10.172 5.068
Cl 5.984 6.873 0.910
S 8.224 8.847 5.513
Cl 8.001 5.932 9.900
Cl 6.467 11.451 9.944
Cl 7.676 4.153 3.902
Cl 4.467 5.912 10.943
Cl 0.702 6.477 10.515
Cl 7.609 8.697 10.843
S 2.999 2.159 0.342
Cl 8.068 6.919 4.844
Cl 2.769 11.950 11.067
Cl 7.683 0.834 0.786
S 2.227 3.938 6.340
Cl 2.451 6.853 1.953
Cl 9.750 6.308 1.338
S 7.453 10.626 11.511
Au 9.414 5.460 11.675
Cl 4.524 4.698 4.517
Au 1.037 7.325 0.178
Cl 9.693 8.652 6.909
Cl 10.111 11.261 10.330
Cl 4.885 3.303 7.521
Au 4.188 9.103 6.176
Au 6.263 3.682 5.677
! **Space-group type**: No. 14
! **Energy relative to the elements, uncorrected**: -2.17 eV per formula unit
! **DOS(E_F)**: 0.000 states/eV/atom

***

! PBE-GGA AuSCl2, relaxed; values from VASP
&SYSTEM
  ibrav = 0, nat = 8, ntyp = 3
/
ATOMIC_SPECIES
Cl 35.45 Cl.upf
S 32.06 S.upf
Au 196.97 Au.upf
CELL_PARAMETERS angstrom
4.749 0.000 0.000
0.000 4.749 0.000
2.374 2.374 8.091
ATOMIC_POSITIONS angstrom
Cl 1.262 3.561 2.023
S 2.374 4.749 4.045
Au 0.000 0.000 0.000
Au 4.749 2.374 4.045
Cl 5.936 5.861 6.068
Cl 3.487 1.187 2.023
S 2.374 2.374 0.000
Cl 3.561 3.636 6.068
! **Space-group type**: No. 122
! **Energy relative to the elements, uncorrected**: 2.24 eV per formula unit
! **DOS(E_F)**: 1.436 states/eV/atom

***

! PBE-GGA AuS6Cl, relaxed; values from VASP
&SYSTEM
  ibrav = 0, nat = 8, ntyp = 3
/
ATOMIC_SPECIES
Au 196.97 Au.upf
S 32.06 S.upf
Cl 35.45 Cl.upf
CELL_PARAMETERS angstrom
7.551 -2.056 -2.897
-3.192 7.150 -2.813
-1.822 -2.089 7.946
ATOMIC_POSITIONS angstrom
Au 0.000 0.000 0.000
S 5.339 -1.465 0.446
S 4.222 2.063 -3.089
S -2.802 4.469 1.790
S 2.387 -2.091 4.595
S 0.150 5.096 -2.358
Cl 1.268 1.502 1.118
S -1.686 0.942 5.326
! **Space-group type**: No. 2
! **Energy relative to the elements, uncorrected**: 0.59 eV per formula unit

***

! PBE-GGA AuS5Cl, relaxed; values from VASP
&SYSTEM
  ibrav = 0, nat = 7, ntyp = 3
/
ATOMIC_SPECIES
S 32.06 S.upf
Cl 35.45 Cl.upf
Au 196.97 Au.upf
CELL_PARAMETERS angstrom
-2.552 -3.294 0.290
1.864 -1.205 3.843
-4.044 9.347 7.534
ATOMIC_POSITIONS angstrom
S 0.153 1.024 3.778
Cl -0.826 3.764 6.326
S -1.999 -2.692 2.070
S -2.863 6.421 7.390
S 0.536 -0.757 4.759
Au -3.248 3.022 6.707
S -4.010 5.241 6.338
! **Space-group type**: No. 1
! **Energy relative to the elements, uncorrected**: 0.07 eV per formula unit